First-principles (PBE) data for a relaxed KCo crystal, as listed in the Open Quantum Materials Database.

For the total magnetic moment, the calculation gives 1.00 μB per atom. The total energy is -2.386 eV/atom.

It has space group P6_3mc (No. 186), with a = 5.2382 Å, b = 5.2382 Å, c = 8.5727 Å, α = 90.00°, β = 90.00° and γ = 120.00°. The inequivalent atoms are K at (0.3333, 0.6667, 0.0000) and Co at (0.3333, 0.6667, 0.6241).



First-principles (PBE) data for a relaxed KCo crystal, as listed in the Open Quantum Materials Database.

For the total magnetic moment, the calculation gives 0.99 μB per atom. The total energy is -2.485 eV/atom.

It has space group Fm-3m (No. 225), with a = 6.7787 Å, b = 6.7787 Å, c = 6.7787 Å, α = 90.00°, β = 90.00° and γ = 90.00°. The inequivalent atoms are K at (0.0000, 0.0000, 0.0000) and Co at (0.0000, 0.0000, 0.5000).



First-principles (PBE) data for a relaxed KCo2 crystal, as listed in the Open Quantum Materials Database.

For the total magnetic moment, the calculation gives 1.27 μB per atom. The total energy is -3.219 eV/atom.

It has space group P4_2/mnm (No. 136), with a = 5.2982 Å, b = 5.2982 Å, c = 5.9643 Å, α = 90.00°, β = 90.00° and γ = 90.00°. The inequivalent atoms are K at (0.0000, 0.0000, 0.0000) and Co at (0.1347, 0.1347, 0.5000).



First-principles (PBE) data for a relaxed KCo crystal, as listed in the Open Quantum Materials Database.

For the total magnetic moment, the calculation gives 1.00 μB per atom. The total energy is -2.289 eV/atom.

It has space group F-43m (No. 216), with a = 7.5678 Å, b = 7.5678 Å, c = 7.5678 Å, α = 90.00°, β = 90.00° and γ = 90.00°. The inequivalent atoms are K at (0.0000, 0.0000, 0.0000) and Co at (0.2500, 0.2500, 0.2500).



First-principles (PBE) data for a relaxed K3Co2 crystal, as listed in the Open Quantum Materials Database.

For the total magnetic moment, the calculation gives 0.69 μB per atom. The total energy is -2.278 eV/atom.

It has space group R-3c (No. 167, hexagonal axes), with a = 8.4734 Å, b = 8.4734 Å, c = 22.1842 Å, α = 90.00°, β = 90.00° and γ = 120.00°. The inequivalent atoms are K at (0.0000, 0.3031, 0.2500) and Co at (0.0000, 0.0000, 0.1544).



First-principles (PBE) data for a relaxed KCo crystal, as listed in the Open Quantum Materials Database.

For the total magnetic moment, the calculation gives 0.83 μB per atom. The total energy is -3.194 eV/atom.

It has space group Pmma (No. 51), with a = 3.8266 Å, b = 4.6034 Å, c = 7.0887 Å, α = 90.00°, β = 90.00° and γ = 90.00°. The inequivalent atoms are K at (0.2500, 0.0000, 0.2318) and Co at (0.2500, 0.5000, 0.5761).



First-principles (PBE) data for a relaxed KLaCoS3 crystal, as listed in the Open Quantum Materials Database.

For the total magnetic moment, the calculation gives 0.50 μB per atom. The total energy is -5.558 eV/atom.

It has space group Pnma (No. 62), with a = 11.2676 Å, b = 4.1490 Å, c = 12.0872 Å, α = 90.00°, β = 90.00° and γ = 90.00°. The inequivalent atoms are K at (0.1662, 0.2500, 0.0107), La at (0.0193, 0.2500, 0.6709), Co at (0.2446, 0.2500, 0.2944), S at (0.0601, 0.7500, 0.8315), S at (0.1170, 0.2500, 0.4411) and S at (0.2161, 0.7500, 0.2101).



First-principles (PBE) data for a relaxed KLaCoS3 crystal, as listed in the Open Quantum Materials Database.

For the total magnetic moment, the calculation gives 0.50 μB per atom. The total energy is -5.536 eV/atom.

It has space group Cmcm (No. 63), with a = 4.0840 Å, b = 13.8652 Å, c = 11.0833 Å, α = 90.00°, β = 90.00° and γ = 90.00°. The inequivalent atoms are K at (0.0000, 0.2418, 0.2500), La at (0.0000, 0.5000, 0.0000), Co at (0.0000, 0.0336, 0.7500), S at (0.0000, 0.1269, 0.5838) and S at (0.0000, 0.4425, 0.7500).



First-principles (PBE) data for a relaxed KLaCoTe3 crystal, as listed in the Open Quantum Materials Database.

For the total magnetic moment, the calculation gives 0.41 μB per atom. The total energy is -4.635 eV/atom.

It has space group Pnma (No. 62), with a = 12.4903 Å, b = 4.5564 Å, c = 13.4566 Å, α = 90.00°, β = 90.00° and γ = 90.00°. The inequivalent atoms are K at (0.1738, 0.2500, 0.0027), La at (0.0216, 0.2500, 0.6729), Co at (0.2492, 0.2500, 0.2933), Te at (0.0528, 0.7500, 0.8385), Te at (0.1174, 0.2500, 0.4415) and Te at (0.2151, 0.7500, 0.2074).



First-principles (PBE) data for a relaxed KLaCoTe3 crystal, as listed in the Open Quantum Materials Database.

For the total magnetic moment, the calculation gives 0.50 μB per atom. The total energy is -4.633 eV/atom.

It has space group Cmcm (No. 63), with a = 4.4639 Å, b = 15.7845 Å, c = 12.0620 Å, α = 90.00°, β = 90.00° and γ = 90.00°. The inequivalent atoms are K at (0.0000, 0.2450, 0.2500), La at (0.0000, 0.5000, 0.0000), Co at (0.0000, 0.0273, 0.7500), Te at (0.0000, 0.1296, 0.5827) and Te at (0.0000, 0.4315, 0.7500).



First-principles (PBE) data for a relaxed KLaCoTe3 crystal, as listed in the Open Quantum Materials Database.

For the total magnetic moment, the calculation gives 0.33 μB per atom. The total energy is -4.648 eV/atom.

It has space group P2_1/m (No. 11), with a = 10.0095 Å, b = 4.3801 Å, c = 10.0647 Å, α = 90.00°, β = 105.47° and γ = 90.00°. The inequivalent atoms are K at (0.1962, 0.2500, 0.2341), La at (0.3262, 0.7500, 0.8547), Co at (0.0747, 0.2500, 0.5874), Te at (0.0930, 0.2500, 0.8499), Te at (0.1798, 0.7500, 0.5222) and Te at (0.4533, 0.7500, 0.1834).



First-principles (PBE) data for a relaxed KLiCoRe crystal, as listed in the Open Quantum Materials Database.

For the total magnetic moment, the calculation gives 0.96 μB per atom. The total energy is -4.209 eV/atom.

It has space group F-43m (No. 216), with a = 6.5161 Å, b = 6.5161 Å, c = 6.5161 Å, α = 90.00°, β = 90.00° and γ = 90.00°. The inequivalent atoms are K at (0.0000, 0.0000, 0.0000), Li at (0.2500, 0.2500, 0.2500), Co at (0.2500, 0.2500, 0.7500) and Re at (0.0000, 0.0000, 0.5000).



First-principles (PBE) data for a relaxed KLiCoRe crystal, as listed in the Open Quantum Materials Database.

For the total magnetic moment, the calculation gives 0.00 μB per atom. The total energy is -4.244 eV/atom.

It has space group F-43m (No. 216), with a = 6.3001 Å, b = 6.3001 Å, c = 6.3001 Å, α = 90.00°, β = 90.00° and γ = 90.00°. The inequivalent atoms are K at (0.0000, 0.0000, 0.0000), Li at (0.2500, 0.2500, 0.2500), Co at (0.0000, 0.0000, 0.5000) and Re at (0.2500, 0.2500, 0.7500).



First-principles (PBE) data for a relaxed KLiCoRe crystal, as listed in the Open Quantum Materials Database.

For the total magnetic moment, the calculation gives 1.08 μB per atom. The total energy is -3.736 eV/atom.

It has space group F-43m (No. 216), with a = 6.6198 Å, b = 6.6198 Å, c = 6.6198 Å, α = 90.00°, β = 90.00° and γ = 90.00°. The inequivalent atoms are K at (0.0000, 0.0000, 0.0000), Li at (0.0000, 0.0000, 0.5000), Co at (0.2500, 0.2500, 0.2500) and Re at (0.2500, 0.2500, 0.7500).



First-principles (PBE) data for a relaxed KLiCoTc crystal, as listed in the Open Quantum Materials Database.

For the total magnetic moment, the calculation gives 1.07 μB per atom. The total energy is -3.541 eV/atom.

It has space group F-43m (No. 216), with a = 6.6735 Å, b = 6.6735 Å, c = 6.6735 Å, α = 90.00°, β = 90.00° and γ = 90.00°. The inequivalent atoms are K at (0.0000, 0.0000, 0.0000), Li at (0.0000, 0.0000, 0.5000), Co at (0.2500, 0.2500, 0.2500) and Tc at (0.2500, 0.2500, 0.7500).



First-principles (PBE) data for a relaxed KLiCoTc crystal, as listed in the Open Quantum Materials Database.

For the total magnetic moment, the calculation gives 0.09 μB per atom. The total energy is -3.894 eV/atom.

It has space group F-43m (No. 216), with a = 6.3300 Å, b = 6.3300 Å, c = 6.3300 Å, α = 90.00°, β = 90.00° and γ = 90.00°. The inequivalent atoms are K at (0.0000, 0.0000, 0.0000), Li at (0.2500, 0.2500, 0.2500), Co at (0.0000, 0.0000, 0.5000) and Tc at (0.2500, 0.2500, 0.7500).



First-principles (PBE) data for a relaxed KLiCoTc crystal, as listed in the Open Quantum Materials Database.

For the total magnetic moment, the calculation gives 1.00 μB per atom. The total energy is -3.917 eV/atom.

It has space group F-43m (No. 216), with a = 6.5739 Å, b = 6.5739 Å, c = 6.5739 Å, α = 90.00°, β = 90.00° and γ = 90.00°. The inequivalent atoms are K at (0.0000, 0.0000, 0.0000), Li at (0.2500, 0.2500, 0.2500), Co at (0.2500, 0.2500, 0.7500) and Tc at (0.0000, 0.0000, 0.5000).



First-principles (PBE) data for a relaxed KLuCo crystal, as listed in the Open Quantum Materials Database.

For the total magnetic moment, the calculation gives 0.14 μB per atom. The total energy is -3.327 eV/atom.

It has space group F-43m (No. 216), with a = 6.8193 Å, b = 6.8193 Å, c = 6.8193 Å, α = 90.00°, β = 90.00° and γ = 90.00°. The inequivalent atoms are K at (0.0000, 0.0000, 0.0000), Lu at (0.0000, 0.0000, 0.5000) and Co at (0.2500, 0.2500, 0.2500).



First-principles (PBE) data for a relaxed KMgCoMo crystal, as listed in the Open Quantum Materials Database.

For the total magnetic moment, the calculation gives 0.91 μB per atom. The total energy is -3.813 eV/atom.

It has space group F-43m (No. 216), with a = 6.7266 Å, b = 6.7266 Å, c = 6.7266 Å, α = 90.00°, β = 90.00° and γ = 90.00°. The inequivalent atoms are K at (0.0000, 0.0000, 0.0000), Mg at (0.2500, 0.2500, 0.7500), Co at (0.2500, 0.2500, 0.2500) and Mo at (0.0000, 0.0000, 0.5000).



First-principles (PBE) data for a relaxed KMgCoMo crystal, as listed in the Open Quantum Materials Database.

For the total magnetic moment, the calculation gives 1.12 μB per atom. The total energy is -3.643 eV/atom.

It has space group F-43m (No. 216), with a = 6.9215 Å, b = 6.9215 Å, c = 6.9215 Å, α = 90.00°, β = 90.00° and γ = 90.00°. The inequivalent atoms are K at (0.0000, 0.0000, 0.0000), Mg at (0.0000, 0.0000, 0.5000), Co at (0.2500, 0.2500, 0.7500) and Mo at (0.2500, 0.2500, 0.2500).



First-principles (PBE) data for a relaxed KMgCoMo crystal, as listed in the Open Quantum Materials Database.

For the total magnetic moment, the calculation gives 0.00 μB per atom. The total energy is -3.917 eV/atom.

It has space group F-43m (No. 216), with a = 6.5301 Å, b = 6.5301 Å, c = 6.5301 Å, α = 90.00°, β = 90.00° and γ = 90.00°. The inequivalent atoms are K at (0.0000, 0.0000, 0.0000), Mg at (0.2500, 0.2500, 0.7500), Co at (0.0000, 0.0000, 0.5000) and Mo at (0.2500, 0.2500, 0.2500).



First-principles (PBE) data for a relaxed KMgCoTe crystal, as listed in the Open Quantum Materials Database.

For the total magnetic moment, the calculation gives 0.37 μB per atom. The total energy is -2.747 eV/atom.

It has space group F-43m (No. 216), with a = 7.2431 Å, b = 7.2431 Å, c = 7.2431 Å, α = 90.00°, β = 90.00° and γ = 90.00°. The inequivalent atoms are K at (0.0000, 0.0000, 0.0000), Mg at (0.2500, 0.2500, 0.2500), Co at (0.2500, 0.2500, 0.7500) and Te at (0.0000, 0.0000, 0.5000).



First-principles (PBE) data for a relaxed KMgCoTe crystal, as listed in the Open Quantum Materials Database.

For the total magnetic moment, the calculation gives 0.50 μB per atom. The total energy is -2.856 eV/atom.

It has space group F-43m (No. 216), with a = 7.5275 Å, b = 7.5275 Å, c = 7.5275 Å, α = 90.00°, β = 90.00° and γ = 90.00°. The inequivalent atoms are K at (0.0000, 0.0000, 0.0000), Mg at (0.0000, 0.0000, 0.5000), Co at (0.2500, 0.2500, 0.2500) and Te at (0.2500, 0.2500, 0.7500).



First-principles (PBE) data for a relaxed KMgCoTe crystal, as listed in the Open Quantum Materials Database.

For the total magnetic moment, the calculation gives 0.05 μB per atom. The total energy is -2.830 eV/atom.

It has space group F-43m (No. 216), with a = 6.9955 Å, b = 6.9955 Å, c = 6.9955 Å, α = 90.00°, β = 90.00° and γ = 90.00°. The inequivalent atoms are K at (0.0000, 0.0000, 0.0000), Mg at (0.2500, 0.2500, 0.2500), Co at (0.0000, 0.0000, 0.5000) and Te at (0.2500, 0.2500, 0.7500).



First-principles (PBE) data for a relaxed KMgCoW crystal, as listed in the Open Quantum Materials Database.

For the total magnetic moment, the calculation gives 0.00 μB per atom. The total energy is -4.190 eV/atom.

It has space group F-43m (No. 216), with a = 6.6873 Å, b = 6.6873 Å, c = 6.6873 Å, α = 90.00°, β = 90.00° and γ = 90.00°. The inequivalent atoms are K at (0.0000, 0.0000, 0.0000), Mg at (0.2500, 0.2500, 0.7500), Co at (0.2500, 0.2500, 0.2500) and W at (0.0000, 0.0000, 0.5000).



First-principles (PBE) data for a relaxed KMgCoW crystal, as listed in the Open Quantum Materials Database.

For the total magnetic moment, the calculation gives 0.00 μB per atom. The total energy is -4.307 eV/atom.

It has space group F-43m (No. 216), with a = 6.5038 Å, b = 6.5038 Å, c = 6.5038 Å, α = 90.00°, β = 90.00° and γ = 90.00°. The inequivalent atoms are K at (0.0000, 0.0000, 0.0000), Mg at (0.2500, 0.2500, 0.7500), Co at (0.0000, 0.0000, 0.5000) and W at (0.2500, 0.2500, 0.2500).



First-principles (PBE) data for a relaxed KMgCoW crystal, as listed in the Open Quantum Materials Database.

For the total magnetic moment, the calculation gives 1.05 μB per atom. The total energy is -3.882 eV/atom.

It has space group F-43m (No. 216), with a = 6.8667 Å, b = 6.8667 Å, c = 6.8667 Å, α = 90.00°, β = 90.00° and γ = 90.00°. The inequivalent atoms are K at (0.0000, 0.0000, 0.0000), Mg at (0.0000, 0.0000, 0.5000), Co at (0.2500, 0.2500, 0.7500) and W at (0.2500, 0.2500, 0.2500).